No. 1
EuPuBiAu PBE relaxed; calculated formation energy = -0.57 eV per atom; VASP energy = -34.05 eV for the cell shown
1.0
5.437 0.000 0.000
2.719 4.709 0.000
2.719 1.570 4.439
Au Pu Eu Bi
1 1 1 1
Direct
0.000 0.000 0.000 Au
0.250 0.250 0.250 Pu
0.750 0.750 0.750 Eu
0.500 0.500 0.500 Bi

---

No. 2
EuScBiAu PBE relaxed; calculated formation energy = -0.62 eV per atom; VASP energy = -26.24 eV for the cell shown
1.0
5.261 0.000 0.000
2.630 4.556 0.000
2.630 1.519 4.295
Au Eu Bi Sc
1 1 1 1
Direct
0.000 0.000 0.000 Au
0.750 0.750 0.750 Eu
0.500 0.500 0.500 Bi
0.250 0.250 0.250 Sc

---

No. 3
SrEuBiAu PBE relaxed; calculated formation energy = -0.85 eV per atom; VASP energy = -22.50 eV for the cell shown
1.0
5.595 0.000 0.000
2.798 4.846 0.000
2.798 1.615 4.569
Bi Au Sr Eu
1 1 1 1
Direct
0.250 0.250 0.250 Bi
0.750 0.750 0.750 Au
0.500 0.500 0.500 Sr
0.000 0.000 0.000 Eu

---

No. 4
EuThBiAu PBE relaxed; calculated formation energy = -0.55 eV per atom; VASP energy = -27.06 eV for the cell shown
1.0
5.464 0.000 0.000
2.732 4.732 0.000
2.732 1.577 4.462
Th Bi Au Eu
1 1 1 1
Direct
0.250 0.250 0.250 Th
0.500 0.500 0.500 Bi
0.000 0.000 0.000 Au
0.750 0.750 0.750 Eu

---

No. 5
EuYBiAu PBE relaxed; calculated formation energy = -0.72 eV per atom; VASP energy = -26.77 eV for the cell shown
1.0
5.388 0.000 0.000
2.694 4.666 0.000
2.694 1.555 4.400
Y Bi Au Eu
1 1 1 1
Direct
0.750 0.750 0.750 Y
0.500 0.500 0.500 Bi
0.000 0.000 0.000 Au
0.250 0.250 0.250 Eu

---

No. 6
EuZnBiAu PBE relaxed; calculated formation energy = -0.42 eV per atom; VASP energy = -20.40 eV for the cell shown
1.0
-4.009 1.207 3.051
-4.826 -1.155 -1.486
-2.630 -3.747 2.424
Zn Bi Eu Au
1 1 1 1
Direct
0.000 0.000 0.000 Zn
0.250 0.250 0.250 Bi
0.750 0.750 0.750 Eu
0.500 0.500 0.500 Au

---

What did the fourth record say?
EuThBiAu PBE relaxed; calculated formation energy = -0.55 eV per atom; VASP energy = -27.06 eV for the cell shown
1.0
5.464 0.000 0.000
2.732 4.732 0.000
2.732 1.577 4.462
Th Bi Au Eu
1 1 1 1
Direct
0.250 0.250 0.250 Th
0.500 0.500 0.500 Bi
0.000 0.000 0.000 Au
0.750 0.750 0.750 Eu

---

Which value of VASP energy does entry 1 give? -34.05 eV for the cell shown